1.
# Te4Cl PBE relaxed
data_Te4Cl
_chemical_formula_sum 'Te8 Cl2'
_space_group_name_H-M_alt 'P 1'
_space_group_IT_number 1
_cell_length_a 6.814
_cell_length_b 6.814
_cell_length_c 6.814
_cell_angle_alpha 90.00
_cell_angle_beta 90.00
_cell_angle_gamma 90.00
loop_
_space_group_symop_operation_xyz
'x,y,z'
loop_
_atom_site_label
_atom_site_type_symbol
_atom_site_fract_x
_atom_site_fract_y
_atom_site_fract_z
Te1 Te 0.250 0.250 0.250
Te2 Te 0.250 0.250 0.750
Te3 Te 0.250 0.750 0.250
Te4 Te 0.250 0.750 0.750
Te5 Te 0.750 0.250 0.250
Te6 Te 0.750 0.250 0.750
Te7 Te 0.750 0.750 0.250
Te8 Te 0.750 0.750 0.750
Cl1 Cl 0.000 0.000 0.000
Cl2 Cl 0.500 0.500 0.500
# Symmetry ... Im-3m (229)
# Final energy ... -2.509 eV/atom
# Crystal system ... cubic
# Relative energy among the computed polymorphs ... 0.346 eV/atom
# Energy relative to the elements, uncorrected ... 0.3739 eV/atom

2.
# Te5Cl PBE relaxed
data_Te5Cl
_chemical_formula_sum 'Te5 Cl1'
_space_group_name_H-M_alt 'P 1'
_space_group_IT_number 1
_cell_length_a 7.140
_cell_length_b 7.140
_cell_length_c 4.268
_cell_angle_alpha 90.00
_cell_angle_beta 90.00
_cell_angle_gamma 120.00
loop_
_space_group_symop_operation_xyz
'x,y,z'
loop_
_atom_site_label
_atom_site_type_symbol
_atom_site_fract_x
_atom_site_fract_y
_atom_site_fract_z
Te1 Te 0.000 0.637 0.000
Te2 Te 0.333 0.667 0.500
Te3 Te 0.363 0.363 0.000
Te4 Te 0.637 0.000 0.000
Te5 Te 0.667 0.333 0.500
Cl1 Cl 0.000 0.000 0.500
# Symmetry ... P-62m (189)
# Final energy ... -2.816 eV/atom
# Crystal system ... hexagonal
# Relative energy among the computed polymorphs ... 0.150 eV/atom
# Energy relative to the elements, uncorrected ... 0.1095 eV/atom

3.
# TeCl5 PBE relaxed
data_TeCl5
_chemical_formula_sum 'Te2 Cl10'
_space_group_name_H-M_alt 'P 1'
_space_group_IT_number 1
_cell_length_a 3.782
_cell_length_b 12.290
_cell_length_c 7.264
_cell_angle_alpha 90.00
_cell_angle_beta 90.00
_cell_angle_gamma 90.00
loop_
_space_group_symop_operation_xyz
'x,y,z'
loop_
_atom_site_label
_atom_site_type_symbol
_atom_site_fract_x
_atom_site_fract_y
_atom_site_fract_z
Te1 Te 0.000 0.000 0.000
Te2 Te 0.500 0.500 0.000
Cl1 Cl 0.000 0.168 0.500
Cl2 Cl 0.000 0.356 0.000
Cl3 Cl 0.000 0.500 0.500
Cl4 Cl 0.000 0.644 0.000
Cl5 Cl 0.000 0.832 0.500
Cl6 Cl 0.500 0.000 0.500
Cl7 Cl 0.500 0.144 0.000
Cl8 Cl 0.500 0.332 0.500
Cl9 Cl 0.500 0.668 0.500
Cl10 Cl 0.500 0.856 0.000
# Symmetry ... Cmmm (65)
# Final energy ... -2.001 eV/atom
# Crystal system ... orthorhombic
# Energy relative to the elements, uncorrected ... 0.0614 eV/atom

4.
# Te4Cl PBE relaxed
data_Te4Cl
_chemical_formula_sum 'Te8 Cl2'
_space_group_name_H-M_alt 'P 1'
_space_group_IT_number 1
_cell_length_a 6.055
_cell_length_b 6.055
_cell_length_c 8.908
_cell_angle_alpha 90.00
_cell_angle_beta 90.00
_cell_angle_gamma 90.00
loop_
_space_group_symop_operation_xyz
'x,y,z'
loop_
_atom_site_label
_atom_site_type_symbol
_atom_site_fract_x
_atom_site_fract_y
_atom_site_fract_z
Te1 Te 0.000 0.000 0.172
Te2 Te 0.000 0.000 0.828
Te3 Te 0.000 0.500 0.250
Te4 Te 0.000 0.500 0.750
Te5 Te 0.500 0.000 0.250
Te6 Te 0.500 0.000 0.750
Te7 Te 0.500 0.500 0.328
Te8 Te 0.500 0.500 0.672
Cl1 Cl 0.000 0.000 0.500
Cl2 Cl 0.500 0.500 0.000
# Symmetry ... I4/mmm (139)
# Final energy ... -2.855 eV/atom
# Crystal system ... tetragonal
# Relative energy among the computed polymorphs ... 0.000 eV/atom
# Energy relative to the elements, uncorrected ... 0.0275 eV/atom

> Which of these has the highest energy relative to the elements, uncorrected?

number 1